(1)
# La21Fe8Bi7C12 (PBE-GGA, relaxed)
data_La21Fe8Bi7C12
_chemical_formula_sum 'La21 Fe8 Bi7 C12'
_cell_length_a 11.683
_cell_length_b 11.683
_cell_length_c 11.683
_cell_angle_alpha 60.00
_cell_angle_beta 60.00
_cell_angle_gamma 60.00
_symmetry_space_group_name_H-M 'P 1'
_symmetry_Int_Tables_number 1
loop_
_symmetry_equiv_pos_as_xyz
'x,y,z'
loop_
_atom_site_label
_atom_site_fract_x
_atom_site_fract_y
_atom_site_fract_z
_atom_site_occupancy
La1 0.000 0.000 0.000 1
La2 0.138 0.138 0.138 1
La3 0.138 0.138 0.587 1
La4 0.138 0.587 0.138 1
La5 0.157 0.500 0.500 1
La6 0.157 0.500 0.843 1
La7 0.157 0.843 0.500 1
La8 0.413 0.862 0.862 1
La9 0.500 0.157 0.500 1
La10 0.500 0.157 0.843 1
La11 0.500 0.500 0.157 1
La12 0.500 0.500 0.843 1
La13 0.500 0.843 0.157 1
La14 0.500 0.843 0.500 1
La15 0.587 0.138 0.138 1
La16 0.843 0.157 0.500 1
La17 0.843 0.500 0.157 1
La18 0.843 0.500 0.500 1
La19 0.862 0.413 0.862 1
La20 0.862 0.862 0.413 1
La21 0.862 0.862 0.862 1
Fe1 0.089 0.304 0.304 1
Fe2 0.304 0.089 0.304 1
Fe3 0.304 0.304 0.089 1
Fe4 0.304 0.304 0.304 1
Fe5 0.696 0.696 0.696 1
Fe6 0.696 0.696 0.911 1
Fe7 0.696 0.911 0.696 1
Fe8 0.911 0.696 0.696 1
Bi1 0.209 0.209 0.791 1
Bi2 0.209 0.791 0.209 1
Bi3 0.209 0.791 0.791 1
Bi4 0.500 0.500 0.500 1
Bi5 0.791 0.209 0.209 1
Bi6 0.791 0.209 0.791 1
Bi7 0.791 0.791 0.209 1
C1 0.109 0.109 0.391 1
C2 0.109 0.391 0.109 1
C3 0.109 0.391 0.391 1
C4 0.391 0.109 0.109 1
C5 0.391 0.109 0.391 1
C6 0.391 0.391 0.109 1
C7 0.609 0.609 0.891 1
C8 0.609 0.891 0.609 1
C9 0.609 0.891 0.891 1
C10 0.891 0.609 0.609 1
C11 0.891 0.609 0.891 1
C12 0.891 0.891 0.609 1
# Total DFT energy (no corrections)   -6.976 eV/atom
# Calculated density   7.32 g cm⁻³

(2)
# Lu4FeBiC2 (PBE-GGA, relaxed)
data_Lu4FeBiC2
_chemical_formula_sum 'Lu4 Fe1 Bi1 C2'
_cell_length_a 3.525
_cell_length_b 3.525
_cell_length_c 14.567
_cell_angle_alpha 90.00
_cell_angle_beta 90.00
_cell_angle_gamma 120.00
_symmetry_space_group_name_H-M 'P 1'
_symmetry_Int_Tables_number 1
loop_
_symmetry_equiv_pos_as_xyz
'x,y,z'
loop_
_atom_site_label
_atom_site_fract_x
_atom_site_fract_y
_atom_site_fract_z
_atom_site_occupancy
Lu1 0.000 0.000 0.141 1
Lu2 0.000 0.000 0.859 1
Lu3 0.333 0.667 0.319 1
Lu4 0.333 0.667 0.681 1
Fe1 0.333 0.667 0.000 1
Bi1 0.000 0.000 0.500 1
C1 0.667 0.333 0.236 1
C2 0.667 0.333 0.764 1
# Total DFT energy (no corrections)   -6.396 eV/atom
# Calculated density   10.48 g cm⁻³

(3)
# FeBiMo4C2 (PBE-GGA, relaxed)
data_FeBiMo4C2
_chemical_formula_sum 'Fe1 Bi1 Mo4 C2'
_cell_length_a 3.115
_cell_length_b 3.115
_cell_length_c 13.884
_cell_angle_alpha 90.00
_cell_angle_beta 90.00
_cell_angle_gamma 120.00
_symmetry_space_group_name_H-M 'P 1'
_symmetry_Int_Tables_number 1
loop_
_symmetry_equiv_pos_as_xyz
'x,y,z'
loop_
_atom_site_label
_atom_site_fract_x
_atom_site_fract_y
_atom_site_fract_z
_atom_site_occupancy
Fe1 0.000 0.000 0.000 1
Bi1 0.667 0.333 0.500 1
Mo1 0.000 0.000 0.307 1
Mo2 0.000 0.000 0.693 1
Mo3 0.667 0.333 0.144 1
Mo4 0.667 0.333 0.856 1
C1 0.333 0.667 0.229 1
C2 0.333 0.667 0.771 1
# Total DFT energy (no corrections)   -9.022 eV/atom
# Calculated density   9.57 g cm⁻³